# LiAl2Fe

Crystalline LiAl2Fe at its relaxed geometry (PBE, Alexandria via LeMat-Bulk).

Output
The density of states at the Fermi level comes out at 0.566 states/eV per atom. The formation energy is -0.27 eV per formula unit. The calculation puts the total energy at -18.13 eV/cell.

```
LiAl2Fe
1.0
4.230 -1.335 0.000
4.230 1.335 0.000
-0.661 0.000 4.948
Li Al Fe
1 2 1
Direct
0.000 0.000 0.000 Li
0.240 0.240 0.733 Al
0.760 0.760 0.267 Al
0.500 0.500 0.500 Fe
```